(1)
Entry from Alexandria via LeMat-Bulk: a geometry-optimized CaBiS3 structure (PBE).

abc: 5.1864 5.1864 5.1864
angles: 90.00 90.00 90.00
Closest atoms and distances in Å follow each position.
Atoms (fractional coordinates):
S: 0.0000 0.0000 0.5000  2 Bi 2.59
S: 0.5000 0.0000 0.0000  2 Bi 2.59
S: 0.0000 0.5000 0.0000  2 Bi 2.59
Ca: 0.5000 0.5000 0.5000  12 S 3.67
Bi: 0.0000 0.0000 0.0000  6 S 2.59

Excess energy over the best structure of this formula in the dataset   0.484 eV/atom
Crystal system   cubic

***

(2)
Entry from Alexandria via LeMat-Bulk: a geometry-optimized Ca2BiS structure (PBE).

abc: 5.3530 5.3530 5.3530
angles: 60.00 60.00 60.00
Closest atoms and distances in Å follow each position.
Atoms (fractional coordinates):
Ca: 0.7500 0.7500 0.7500  4 S 3.28, 4 Bi 3.28
Ca: 0.2500 0.2500 0.2500  4 S 3.28, 4 Bi 3.28
S: 0.0000 0.0000 0.0000  8 Ca 3.28
Bi: 0.5000 0.5000 0.5000  8 Ca 3.28

Excess energy over the best structure of this formula in the dataset   0.451 eV/atom
Crystal system   cubic

***

(3)
Entry from Alexandria via LeMat-Bulk: a geometry-optimized CaBi3S6 structure (PBE).

abc: 7.1093 7.1093 7.5112
angles: 61.75 61.75 60.00
Closest atoms and distances in Å follow each position.
Atoms (fractional coordinates):
S: 0.0502 0.4532 0.7487  3 Bi 2.79-2.82, 1 Ca 2.89
Ca: 0.8544 0.8544 0.4368  6 S 2.82-2.89
Bi: 0.6524 0.6524 0.0428  6 S 2.81-2.82
Bi: 0.1480 0.1480 0.5559  6 S 2.79-2.83
S: 0.2581 0.9504 0.2533  3 Bi 2.79-2.83, 1 Ca 2.82
S: 0.5383 0.2581 0.2533  3 Bi 2.79-2.83, 1 Ca 2.82
S: 0.9504 0.5383 0.2533  3 Bi 2.79-2.83, 1 Ca 2.82
S: 0.4532 0.7479 0.7487  3 Bi 2.79-2.82, 1 Ca 2.89
Bi: 0.3472 0.3472 0.9584  6 S 2.79-2.82
S: 0.7479 0.0502 0.7487  3 Bi 2.79-2.82, 1 Ca 2.89

Excess energy over the best structure of this formula in the dataset   0.018 eV/atom
Crystal system   trigonal

***

(4)
Entry from Alexandria via LeMat-Bulk: a geometry-optimized Ca2Sc2Bi2S structure (PBE).

abc: 4.8814 4.8814 8.8909
angles: 105.93 105.93 90.00
Closest atoms and distances in Å follow each position.
Atoms (fractional coordinates):
S: 0.0000 0.0000 0.0000  4 Sc 2.44
Bi: 0.3688 0.3688 0.7377  4 Sc 3.25, 5 Ca 3.26-3.51
Sc: 0.5000 0.0000 0.0000  2 S 2.44
Bi: 0.6312 0.6312 0.2623  4 Sc 3.25, 5 Ca 3.26-3.51
Ca: 0.1702 0.1702 0.3403  1 S 2.79
Sc: 0.0000 0.5000 0.0000  2 S 2.44
Ca: 0.8298 0.8298 0.6597  1 S 2.79

Crystal system   tetragonal

***

(5)
Entry from Alexandria via LeMat-Bulk: a geometry-optimized CaTl3Bi2S6 structure (PBE).

abc: 7.1811 7.1811 7.5561
angles: 99.09 99.09 120.01
Closest atoms and distances in Å follow each position.
Atoms (fractional coordinates):
Bi: 0.3332 0.6668 0.0000  6 S 2.83-2.85
Tl: 0.5000 0.5000 0.5000  6 S 3.14
S: 0.9270 0.5904 0.7819  2 Bi 2.85, 1 Ca 2.88, 3 Tl 3.14
Bi: 0.6668 0.3332 0.0000  6 S 2.83-2.85
Tl: 0.8370 0.1630 0.5000  6 S 3.14
S: 0.5904 0.9270 0.7819  2 Bi 2.85, 1 Ca 2.88, 3 Tl 3.14
Ca: 0.0000 0.0000 0.0000  6 S 2.85-2.88
S: 0.4096 0.0730 0.2181  2 Bi 2.85, 1 Ca 2.88, 3 Tl 3.14
S: 0.7344 0.7344 0.2124  2 Bi 2.83, 1 Ca 2.85, 3 Tl 3.14
S: 0.2656 0.2656 0.7876  2 Bi 2.83, 1 Ca 2.85, 3 Tl 3.14
S: 0.0730 0.4096 0.2181  2 Bi 2.85, 1 Ca 2.88, 3 Tl 3.14
Tl: 0.1630 0.8370 0.5000  6 S 3.14

Crystal system   monoclinic

***

(6)
Entry from Alexandria via LeMat-Bulk: a geometry-optimized Ca3YBi2S structure (PBE).

abc: 5.2054 5.1756 9.0484
angles: 106.62 106.72 90.00
Closest atoms and distances in Å follow each position.
Atoms (fractional coordinates):
Ca: 0.8280 0.8280 0.6560  1 S 2.85
Bi: 0.6345 0.6345 0.2690  3 Ca 3.20-3.42, 2 Y 3.41
S: 0.0000 0.0000 0.0000  4 Ca 2.59-2.85, 2 Y 2.60
Y: 0.5000 0.0000 0.0000  2 S 2.60
Bi: 0.3655 0.3655 0.7310  3 Ca 3.20-3.42, 2 Y 3.41
Ca: 0.0000 0.5000 0.0000  2 S 2.59
Ca: 0.1720 0.1720 0.3440  1 S 2.85

Crystal system   orthorhombic

***

(7)
Entry from Alexandria via LeMat-Bulk: a geometry-optimized Ca2Y2Bi2S structure (PBE).

abc: 5.1799 5.1799 9.0105
angles: 106.70 106.70 90.00
Closest atoms and distances in Å follow each position.
Atoms (fractional coordinates):
Y: 0.0000 0.5000 0.0000  2 S 2.59
Ca: 0.8288 0.8288 0.6576  1 S 2.82
Bi: 0.3667 0.3667 0.7334  1 Ca 3.22, 4 Y 3.39
Bi: 0.6333 0.6333 0.2666  1 Ca 3.22, 4 Y 3.39
S: 0.0000 0.0000 0.0000  4 Y 2.59, 2 Ca 2.82
Ca: 0.1712 0.1712 0.3424  1 S 2.82
Y: 0.5000 0.0000 0.0000  2 S 2.59

Crystal system   tetragonal

***

(8)
Entry from Alexandria via LeMat-Bulk: a geometry-optimized CaBi2Sb2 structure (PBE).

abc: 8.6578 8.6578 4.2866
angles: 90.00 90.00 90.00
Closest atoms and distances in Å follow each position.
Atoms (fractional coordinates):
Sb: 0.3414 0.8414 0.0000  2 Bi 3.05, 2 Ca 3.26
Ca: 0.0000 0.0000 0.0000  4 Sb 3.26
Ca: 0.5000 0.5000 0.0000  4 Sb 3.26
Bi: 0.3356 0.1644 0.5000  2 Sb 3.05
Sb: 0.6586 0.1586 0.0000  2 Bi 3.05, 2 Ca 3.26
Bi: 0.1644 0.6644 0.5000  2 Sb 3.05
Bi: 0.6644 0.8356 0.5000  2 Sb 3.05
Sb: 0.8414 0.6586 0.0000  2 Bi 3.05, 2 Ca 3.26
Bi: 0.8356 0.3356 0.5000  2 Sb 3.05
Sb: 0.1586 0.3414 0.0000  2 Bi 3.05, 2 Ca 3.26

Excess energy over the best structure of this formula in the dataset   0.000 eV/atom
Crystal system   tetragonal

***

no.,uncorrected formation energy (eV per atom),calculated total energy (eV/f.u.)
1,-0.41,-20.33
2,-0.93,-15.75
3,-0.59,-44.29
4,-1.05,-35.90
5,-0.64,-49.31
6,-1.10,-32.03
7,-1.04,-36.13
8,-0.21,-19.08